Record 1
H12Ir5Pb3: optimized geometry, PBE-GGA.

a b c (Å): 10.370 10.370 10.370
angles (deg): 109.47 109.47 109.47
Fractional positions:
1 H 0.017 0.690 0.087
2 H 0.017 0.827 0.930
3 H 0.070 0.587 0.897
4 H 0.070 0.983 0.173
5 H 0.087 0.017 0.690
6 H 0.087 0.570 0.397
7 H 0.103 0.673 0.690
8 H 0.103 0.930 0.413
9 H 0.173 0.070 0.983
10 H 0.173 0.603 0.190
11 H 0.190 0.173 0.603
12 H 0.190 0.517 0.587
13 H 0.310 0.897 0.327
14 H 0.310 0.913 0.983
15 H 0.327 0.310 0.897
16 H 0.327 0.517 0.430
17 H 0.397 0.087 0.570
18 H 0.397 0.810 0.827
19 H 0.413 0.103 0.930
20 H 0.413 0.810 0.483
21 H 0.430 0.327 0.517
22 H 0.430 0.603 0.913
23 H 0.483 0.413 0.810
24 H 0.483 0.570 0.673
25 H 0.517 0.430 0.327
26 H 0.517 0.587 0.190
27 H 0.570 0.397 0.087
28 H 0.570 0.673 0.483
29 H 0.587 0.190 0.517
30 H 0.587 0.897 0.070
31 H 0.603 0.190 0.173
32 H 0.603 0.913 0.430
33 H 0.673 0.483 0.570
34 H 0.673 0.690 0.103
35 H 0.690 0.087 0.017
36 H 0.690 0.103 0.673
37 H 0.810 0.483 0.413
38 H 0.810 0.827 0.397
39 H 0.827 0.397 0.810
40 H 0.827 0.930 0.017
41 H 0.897 0.070 0.587
42 H 0.897 0.327 0.310
43 H 0.913 0.430 0.603
44 H 0.913 0.983 0.310
45 H 0.930 0.017 0.827
46 H 0.930 0.413 0.103
47 H 0.983 0.173 0.070
48 H 0.983 0.310 0.913
49 Ir 0.000 0.000 0.000
50 Ir 0.000 0.000 0.500
51 Ir 0.000 0.500 0.000
52 Ir 0.000 0.500 0.500
53 Ir 0.125 0.750 0.875
54 Ir 0.125 0.875 0.250
55 Ir 0.250 0.125 0.875
56 Ir 0.250 0.625 0.375
57 Ir 0.375 0.250 0.625
58 Ir 0.375 0.625 0.750
59 Ir 0.500 0.000 0.000
60 Ir 0.500 0.000 0.500
61 Ir 0.500 0.500 0.000
62 Ir 0.500 0.500 0.500
63 Ir 0.625 0.375 0.250
64 Ir 0.625 0.750 0.375
65 Ir 0.750 0.375 0.625
66 Ir 0.750 0.875 0.125
67 Ir 0.875 0.125 0.750
68 Ir 0.875 0.250 0.125
69 Pb 0.125 0.250 0.375
70 Pb 0.125 0.375 0.750
71 Pb 0.250 0.375 0.125
72 Pb 0.250 0.875 0.625
73 Pb 0.375 0.125 0.250
74 Pb 0.375 0.750 0.125
75 Pb 0.625 0.250 0.875
76 Pb 0.625 0.875 0.750
77 Pb 0.750 0.125 0.375
78 Pb 0.750 0.625 0.875
79 Pb 0.875 0.625 0.250
80 Pb 0.875 0.750 0.625

- space-group type = No. 230
- crystal system = cubic


Record 2
H5IrPb: optimized geometry, PBE-GGA.

a b c (Å): 5.308 5.308 5.989
angles (deg): 104.73 104.73 84.00
Fractional positions:
1 H 0.016 0.325 0.595
2 H 0.042 0.321 0.065
3 H 0.127 0.873 0.750
4 H 0.321 0.042 0.565
5 H 0.325 0.016 0.095
6 H 0.675 0.984 0.905
7 H 0.679 0.958 0.435
8 H 0.873 0.127 0.250
9 H 0.958 0.679 0.935
10 H 0.984 0.675 0.405
11 Ir 0.000 0.000 0.000
12 Ir 0.000 0.000 0.500
13 Pb 0.346 0.654 0.250
14 Pb 0.654 0.346 0.750

- space-group type = No. 15
- crystal system = monoclinic


Record 3
H4IrPb2: optimized geometry, PBE-GGA.

a b c (Å): 4.936 4.936 8.041
angles (deg): 90.00 90.00 90.00
Fractional positions:
1 H 0.242 0.242 0.000
2 H 0.242 0.758 0.000
3 H 0.258 0.258 0.500
4 H 0.258 0.742 0.500
5 H 0.742 0.258 0.500
6 H 0.742 0.742 0.500
7 H 0.758 0.242 0.000
8 H 0.758 0.758 0.000
9 Ir 0.000 0.000 0.000
10 Ir 0.500 0.500 0.500
11 Pb 0.000 0.500 0.250
12 Pb 0.000 0.500 0.750
13 Pb 0.500 0.000 0.250
14 Pb 0.500 0.000 0.750

- space-group type = No. 139
- crystal system = tetragonal


Record 4
HIrPb3: optimized geometry, PBE-GGA.

a b c (Å): 5.343 5.343 5.343
angles (deg): 90.00 90.00 90.00
Fractional positions:
1 H 0.000 0.000 0.000
2 Ir 0.500 0.500 0.500
3 Pb 0.000 0.500 0.500
4 Pb 0.500 0.000 0.500
5 Pb 0.500 0.500 0.000

- space-group type = No. 221
- crystal system = cubic
- energy above the most stable polymorph in this dataset (meV/atom) = 83


Record 5
H2IrPb: optimized geometry, PBE-GGA.

a b c (Å): 5.823 5.823 5.823
angles (deg): 90.00 90.00 90.00
Fractional positions:
1 H 0.250 0.250 0.250
2 H 0.250 0.250 0.750
3 H 0.250 0.750 0.250
4 H 0.250 0.750 0.750
5 H 0.750 0.250 0.250
6 H 0.750 0.250 0.750
7 H 0.750 0.750 0.250
8 H 0.750 0.750 0.750
9 Ir 0.000 0.000 0.000
10 Ir 0.000 0.500 0.500
11 Ir 0.500 0.000 0.500
12 Ir 0.500 0.500 0.000
13 Pb 0.000 0.000 0.500
14 Pb 0.000 0.500 0.000
15 Pb 0.500 0.000 0.000
16 Pb 0.500 0.500 0.500

- space-group type = No. 225
- crystal system = cubic
- energy above the most stable polymorph in this dataset (meV/atom) = 796


Record 6
H6IrPb: optimized geometry, PBE-GGA.

a b c (Å): 4.678 4.678 7.717
angles (deg): 92.84 92.84 67.64
Fractional positions:
1 H 0.000 0.252 0.835
2 H 0.000 0.748 0.165
3 H 0.009 0.766 0.864
4 H 0.196 0.337 0.499
5 H 0.234 0.991 0.636
6 H 0.252 0.000 0.335
7 H 0.337 0.196 0.999
8 H 0.663 0.804 0.001
9 H 0.748 0.000 0.665
10 H 0.766 0.009 0.364
11 H 0.804 0.663 0.501
12 H 0.991 0.234 0.136
13 Ir 0.000 0.500 0.000
14 Ir 0.500 0.000 0.500
15 Pb 0.487 0.513 0.750
16 Pb 0.513 0.487 0.250

- space-group type = No. 15
- crystal system = monoclinic


Record 7
H2IrPb: optimized geometry, PBE-GGA.

a b c (Å): 3.197 3.197 16.661
angles (deg): 90.00 90.00 120.00
Fractional positions:
1 H 0.000 0.000 0.195
2 H 0.000 0.000 0.805
3 H 0.333 0.667 0.471
4 H 0.333 0.667 0.862
5 H 0.667 0.333 0.138
6 H 0.667 0.333 0.529
7 Ir 0.000 0.000 0.500
8 Ir 0.333 0.667 0.167
9 Ir 0.667 0.333 0.833
10 Pb 0.000 0.000 0.000
11 Pb 0.333 0.667 0.667
12 Pb 0.667 0.333 0.333

- space-group type = No. 166
- crystal system = trigonal
- energy above the most stable polymorph in this dataset (meV/atom) = 50


Record 8
HIr3Pb: optimized geometry, PBE-GGA.

a b c (Å): 5.073 5.073 5.073
angles (deg): 90.00 90.00 90.00
Fractional positions:
1 H 0.000 0.000 0.000
2 Ir 0.000 0.500 0.500
3 Ir 0.500 0.000 0.500
4 Ir 0.500 0.500 0.000
5 Pb 0.500 0.500 0.500

- space-group type = No. 221
- crystal system = cubic
- energy above the most stable polymorph in this dataset (meV/atom) = 2541


Record 9
H6IrPdPb2: optimized geometry, PBE-GGA.

a b c (Å): 5.017 5.017 6.102
angles (deg): 114.30 114.30 89.76
Fractional positions:
1 H 0.000 0.000 0.000
2 H 0.000 0.524 0.998
3 H 0.524 0.000 0.998
4 H 0.525 0.525 0.999
5 H 0.632 0.632 0.738
6 H 0.970 0.970 0.416
7 Ir 0.796 0.796 0.067
8 Pd 0.319 0.319 0.111
9 Pb 0.480 0.980 0.435
10 Pb 0.980 0.480 0.435

- space-group type = No. 8
- crystal system = monoclinic


Record 10
H8IrPd2Pb: optimized geometry, PBE-GGA.

a b c (Å): 4.416 4.526 6.373
angles (deg): 70.56 71.87 73.57
Fractional positions:
1 H 0.145 0.148 0.187
2 H 0.240 0.723 0.017
3 H 0.327 0.320 0.820
4 H 0.343 0.861 0.512
5 H 0.657 0.139 0.488
6 H 0.673 0.680 0.180
7 H 0.760 0.277 0.983
8 H 0.855 0.852 0.813
9 Ir 0.000 0.500 0.000
10 Pd 0.458 0.934 0.744
11 Pd 0.542 0.066 0.256
12 Pb 0.000 0.500 0.500

- space-group type = No. 2
- crystal system = triclinic


Record 11
H8Ir2PdPb: optimized geometry, PBE-GGA.

a b c (Å): 6.605 6.605 6.605
angles (deg): 42.73 42.73 42.73
Fractional positions:
1 H 0.064 0.736 0.375
2 H 0.201 0.201 0.201
3 H 0.264 0.625 0.936
4 H 0.375 0.064 0.736
5 H 0.625 0.936 0.264
6 H 0.736 0.375 0.064
7 H 0.799 0.799 0.799
8 H 0.936 0.264 0.625
9 Ir 0.290 0.290 0.290
10 Ir 0.710 0.710 0.710
11 Pd 0.000 0.000 0.000
12 Pb 0.500 0.500 0.500

- space-group type = No. 148
- crystal system = trigonal


Record 12
H6Ir2PdPb: optimized geometry, PBE-GGA.

a b c (Å): 6.023 6.023 5.667
angles (deg): 97.90 97.90 97.99
Fractional positions:
1 H 0.023 0.170 0.094
2 H 0.076 0.623 0.329
3 H 0.170 0.023 0.594
4 H 0.252 0.324 0.406
5 H 0.324 0.252 0.906
6 H 0.377 0.924 0.171
7 H 0.623 0.076 0.829
8 H 0.676 0.748 0.094
9 H 0.748 0.676 0.594
10 H 0.830 0.977 0.406
11 H 0.924 0.377 0.671
12 H 0.977 0.830 0.906
13 Ir 0.179 0.435 0.155
14 Ir 0.435 0.179 0.655
15 Ir 0.565 0.821 0.345
16 Ir 0.821 0.565 0.845
17 Pd 0.083 0.917 0.250
18 Pd 0.917 0.083 0.750
19 Pb 0.337 0.663 0.750
20 Pb 0.663 0.337 0.250

- space-group type = No. 15
- crystal system = monoclinic


no.,magnetization (μB per cell),calculated total energy (hartree per atom)
1,0.0,-0.166
2,0.0,-0.152
3,0.0,-0.154
4,1.1,-0.146
5,0.0,-0.138
6,0.0,-0.145
7,0.0,-0.165
8,3.1,-0.141
9,0.0,-0.151
10,0.0,-0.149
11,0.0,-0.159
12,0.0,-0.167